Crystalline K2AgSn at its relaxed geometry. Source: the Alexandria database, functional PBE-GGA.

a b c (Å): 6.7784 6.7784 6.5560
angles (deg): 90.00 90.00 73.73
Last column: nearest neighbours and their distance in Å.
Atoms (fractional coordinates):
K1 0.0118 0.3332 0.2500  4 Sn 3.67-3.81, 2 Ag 3.72, 3 K 3.74-3.96
K2 0.3332 0.0118 0.7500  4 Sn 3.67-3.81, 2 Ag 3.72, 3 K 3.74-3.96
K3 0.6668 0.9882 0.2500  4 Sn 3.67-3.81, 2 Ag 3.72, 3 K 3.74-3.96
K4 0.9882 0.6668 0.7500  4 Sn 3.67-3.81, 2 Ag 3.72, 3 K 3.74-3.96
Ag1 0.5000 0.5000 0.0000  2 Sn 2.76
Ag2 0.5000 0.5000 0.5000  2 Sn 2.76
Sn1 0.2276 0.7724 0.2500  2 Ag 2.76
Sn2 0.7724 0.2276 0.7500  2 Ag 2.76

Results
The energy relative to the elements is -0.11 eV per atom. For the raw total energy, the calculation gives -18.9 eV/cell.

Crystalline K2Ag7Sn12 at its relaxed geometry. Source: the Alexandria database, functional PBE-GGA.

a b c (Å): 11.7926 11.7926 4.5521
angles (deg): 90.00 90.00 120.00
Last column: nearest neighbours and their distance in Å.
Atoms (fractional coordinates):
K1 0.3333 0.6667 0.2485  6 Ag 3.65-3.66, 6 Sn 3.71
K2 0.6667 0.3333 0.7515  6 Ag 3.65-3.66, 6 Sn 3.71
Ag1 0.0000 0.0000 0.5000  6 Sn 2.93
Ag2 0.1076 0.6968 0.7471  7 Sn 2.87-3.01
Ag3 0.3032 0.4109 0.7471  7 Sn 2.87-3.01
Ag4 0.4109 0.1076 0.2529  7 Sn 2.87-3.01
Ag5 0.5891 0.8924 0.7471  7 Sn 2.87-3.01
Ag6 0.6968 0.5891 0.2529  7 Sn 2.87-3.01
Ag7 0.8924 0.3032 0.2529  7 Sn 2.87-3.01
Sn1 0.0701 0.4365 0.7481  4 Ag 2.87-2.98
Sn2 0.1248 0.2632 0.2470  4 Ag 2.93-3.01, 1 Sn 3.24
Sn3 0.1383 0.8752 0.2470  4 Ag 2.93-3.01, 1 Sn 3.24
Sn4 0.2632 0.1383 0.7530  4 Ag 2.93-3.01, 1 Sn 3.24
Sn5 0.3663 0.9299 0.7481  4 Ag 2.87-2.98
Sn6 0.4365 0.3663 0.2519  4 Ag 2.87-2.98
Sn7 0.5635 0.6337 0.7481  4 Ag 2.87-2.98
Sn8 0.6337 0.0701 0.2519  4 Ag 2.87-2.98
Sn9 0.7368 0.8617 0.2470  4 Ag 2.93-3.01, 1 Sn 3.24
Sn10 0.8617 0.1248 0.7530  4 Ag 2.93-3.01, 1 Sn 3.24
Sn11 0.8752 0.7368 0.7530  4 Ag 2.93-3.01, 1 Sn 3.24
Sn12 0.9299 0.5635 0.2519  4 Ag 2.87-2.98

Results
The energy relative to the elements is -0.05 eV per atom. For the raw total energy, the calculation gives -71.2 eV/cell.

Crystalline KAg2Sn5 at its relaxed geometry. Source: the Alexandria database, functional PBE-GGA.

a b c (Å): 7.4612 7.4612 7.4612
angles (deg): 140.71 116.70 77.10
Last column: nearest neighbours and their distance in Å.
Atoms (fractional coordinates):
K1 0.0000 0.0000 0.0000  10 Sn 3.83-3.92, 4 Ag 3.91
Ag1 0.2565 0.7565 0.5000  3 Sn 2.79-2.84
Ag2 0.7435 0.2435 0.5000  3 Sn 2.79-2.84
Sn1 0.1717 0.3628 0.8088  1 Ag 2.79, 1 Sn 2.99
Sn2 0.4460 0.6372 0.8088  1 Ag 2.79, 1 Sn 2.99
Sn3 0.5000 0.0000 0.5000  2 Ag 2.84
Sn4 0.5540 0.3628 0.1912  1 Ag 2.79, 1 Sn 2.99
Sn5 0.8283 0.6372 0.1912  1 Ag 2.79, 1 Sn 2.99

Results
The energy relative to the elements is -0.03 eV per atom. For the raw total energy, the calculation gives -27.1 eV/cell.

Crystalline KAg3Sn at its relaxed geometry. Source: the Alexandria database, functional PBE-GGA.

a b c (Å): 7.0201 7.0201 13.1893
angles (deg): 90.00 90.00 120.00
Last column: nearest neighbours and their distance in Å.
Atoms (fractional coordinates):
K1 0.0000 0.0000 0.0000  12 Ag 3.51-3.67
K2 0.0000 0.0000 0.5000  12 Ag 3.51-3.67
K3 0.3333 0.6667 0.2500  12 Ag 3.54-3.87
K4 0.6667 0.3333 0.7500  12 Ag 3.54-3.87
Ag1 0.0000 0.5000 0.0000  2 Sn 2.71
Ag2 0.0000 0.5000 0.5000  2 Sn 2.71
Ag3 0.1319 0.2638 0.7500  2 Ag 2.78, 2 Sn 2.87
Ag4 0.1319 0.8681 0.7500  2 Ag 2.78, 2 Sn 2.87
Ag5 0.2638 0.1319 0.2500  2 Ag 2.78, 2 Sn 2.87
Ag6 0.5000 0.0000 0.0000  2 Sn 2.71
Ag7 0.5000 0.0000 0.5000  2 Sn 2.71
Ag8 0.5000 0.5000 0.0000  2 Sn 2.71
Ag9 0.5000 0.5000 0.5000  2 Sn 2.71
Ag10 0.7362 0.8681 0.7500  2 Ag 2.78, 2 Sn 2.87
Ag11 0.8681 0.1319 0.2500  2 Ag 2.78, 2 Sn 2.87
Ag12 0.8681 0.7362 0.2500  2 Ag 2.78, 2 Sn 2.87
Sn1 0.3333 0.6667 0.6362  6 Ag 2.71-2.87, 1 Sn 3.00
Sn2 0.3333 0.6667 0.8638  6 Ag 2.71-2.87, 1 Sn 3.00
Sn3 0.6667 0.3333 0.1362  6 Ag 2.71-2.87, 1 Sn 3.00
Sn4 0.6667 0.3333 0.3638  6 Ag 2.71-2.87, 1 Sn 3.00

Results
The energy relative to the elements is 0.07 eV per atom. For the raw total energy, the calculation gives -53.3 eV/cell.

Crystalline K2AgSn2 at its relaxed geometry. Source: the Alexandria database, functional PBE-GGA.

a b c (Å): 10.4923 10.4923 3.2991
angles (deg): 90.00 90.00 90.00
Last column: nearest neighbours and their distance in Å.
Atoms (fractional coordinates):
K1 0.2019 0.2981 0.0000  2 K 3.30, 2 Sn 3.44
K2 0.2981 0.7981 0.0000  2 K 3.30, 2 Sn 3.44
K3 0.7019 0.2019 0.0000  2 K 3.30, 2 Sn 3.44
K4 0.7981 0.7019 0.0000  2 K 3.30, 2 Sn 3.44
Ag1 0.0000 0.0000 0.0000  2 Ag 3.30
Ag2 0.5000 0.5000 0.0000  2 Ag 3.30
Sn1 0.0945 0.5945 0.5000  1 Sn 2.80
Sn2 0.4055 0.0945 0.5000  1 Sn 2.80
Sn3 0.5945 0.9055 0.5000  1 Sn 2.80
Sn4 0.9055 0.4055 0.5000  1 Sn 2.80

Results
The energy relative to the elements is 0.16 eV per atom. For the raw total energy, the calculation gives -24.5 eV/cell.

Crystalline KAgSn at its relaxed geometry. Source: the Alexandria database, functional PBE-GGA.

a b c (Å): 8.6251 8.6251 8.6251
angles (deg): 147.01 47.36 147.01
Last column: nearest neighbours and their distance in Å.
Atoms (fractional coordinates):
K1 0.1678 0.0000 0.1678  4 Ag 3.60-3.62, 5 Sn 3.64-3.72
K2 0.8322 0.0000 0.8322  4 Ag 3.60-3.62, 5 Sn 3.64-3.72
Ag1 0.5026 0.5026 0.0000  4 Sn 2.89
Ag2 0.9991 0.4991 0.5000  4 Sn 2.89
Sn1 0.4022 0.9990 0.4032  4 Ag 2.89, 1 Sn 3.06
Sn2 0.5958 0.9990 0.5968  4 Ag 2.89, 1 Sn 3.06

Results
The energy relative to the elements is -0.18 eV per atom. For the raw total energy, the calculation gives -17.0 eV/cell.

Crystalline K2AgSn2 at its relaxed geometry. Source: the Alexandria database, functional PBE-GGA.

a b c (Å): 13.1388 13.1388 13.1388
angles (deg): 157.00 157.00 32.75
Last column: nearest neighbours and their distance in Å.
Atoms (fractional coordinates):
K1 0.0597 0.3097 0.7500  2 Ag 3.09
K2 0.3097 0.0597 0.2500  2 Ag 3.09
K3 0.6903 0.9403 0.7500  2 Ag 3.09
K4 0.9403 0.6903 0.2500  2 Ag 3.09
Ag1 0.3750 0.6250 0.7500  4 K 3.09, 4 Sn 3.44
Ag2 0.6250 0.3750 0.2500  4 K 3.09, 4 Sn 3.44
Sn1 0.2134 0.4634 0.7500  2 Sn 3.20, 2 Ag 3.44, 2 K 3.57
Sn2 0.4634 0.2134 0.2500  2 Sn 3.20, 2 Ag 3.44, 2 K 3.57
Sn3 0.5366 0.7866 0.7500  2 Sn 3.20, 2 Ag 3.44, 2 K 3.57
Sn4 0.7866 0.5366 0.2500  2 Sn 3.20, 2 Ag 3.44, 2 K 3.57

Results
The energy relative to the elements is 0.10 eV per atom. For the raw total energy, the calculation gives -25.1 eV/cell.

Crystalline KAgSn at its relaxed geometry. Source: the Alexandria database, functional PBE-GGA.

a b c (Å): 4.9338 4.9338 4.3628
angles (deg): 90.00 90.00 120.00
Last column: nearest neighbours and their distance in Å.
Atoms (fractional coordinates):
K1 0.0000 0.0000 0.0000  6 Sn 3.59, 6 Ag 3.59
Ag1 0.3333 0.6667 0.5000  3 Sn 2.85
Sn1 0.6667 0.3333 0.5000  3 Ag 2.85

Results
The energy relative to the elements is -0.02 eV per atom. For the raw total energy, the calculation gives -8.0 eV/cell.

Crystalline KAgSn4 at its relaxed geometry. Source: the Alexandria database, functional PBE-GGA.

a b c (Å): 6.8312 6.8312 6.8312
angles (deg): 142.63 107.84 84.20
Last column: nearest neighbours and their distance in Å.
Atoms (fractional coordinates):
K1 0.0000 0.0000 0.0000  12 Sn 3.72-3.78, 2 Ag 4.02
Ag1 0.5000 0.0000 0.5000  8 Sn 3.08
Sn1 0.1606 0.3434 0.8172  4 Sn 2.94-3.18, 2 Ag 3.08
Sn2 0.4739 0.6566 0.8172  4 Sn 2.94-3.18, 2 Ag 3.08
Sn3 0.5261 0.3434 0.1828  4 Sn 2.94-3.18, 2 Ag 3.08
Sn4 0.8394 0.6566 0.1828  4 Sn 2.94-3.18, 2 Ag 3.08

Results
The energy relative to the elements is -0.07 eV per atom. For the raw total energy, the calculation gives -20.4 eV/cell.

Crystalline KAg2Sn2 at its relaxed geometry. Source: the Alexandria database, functional PBE-GGA.

a b c (Å): 4.9837 4.9837 6.2772
angles (deg): 108.43 108.43 94.58
Last column: nearest neighbours and their distance in Å.
Atoms (fractional coordinates):
K1 0.0000 0.0000 0.0000  4 Ag 3.48, 4 Sn 3.60-3.79
Ag1 0.2063 0.7937 0.5000  4 Sn 2.83-2.85, 1 Ag 3.02
Ag2 0.7937 0.2063 0.5000  4 Sn 2.83-2.85, 1 Ag 3.02
Sn1 0.3989 0.3989 0.7319  4 Ag 2.83-2.85, 1 Sn 2.99
Sn2 0.6011 0.6011 0.2681  4 Ag 2.83-2.85, 1 Sn 2.99

Results
The energy relative to the elements is -0.10 eV per atom. For the raw total energy, the calculation gives -15.3 eV/cell.

Crystalline K2Ag3Sn6 at its relaxed geometry. Source: the Alexandria database, functional PBE-GGA.

a b c (Å): 8.6479 8.6479 4.8796
angles (deg): 90.00 90.00 120.00
Last column: nearest neighbours and their distance in Å.
Atoms (fractional coordinates):
K1 0.3333 0.6667 0.0000  9 Sn 3.59-3.87, 6 Ag 3.68
K2 0.6667 0.3333 0.0000  9 Sn 3.59-3.87, 6 Ag 3.68
Ag1 0.0000 0.6332 0.5000  5 Sn 2.82-2.95
Ag2 0.3668 0.3668 0.5000  5 Sn 2.82-2.95
Ag3 0.6332 0.0000 0.5000  5 Sn 2.82-2.95
Sn1 0.0000 0.3075 0.5000  3 Ag 2.82-2.95
Sn2 0.0000 0.7979 0.0000  2 Ag 2.82, 2 Sn 3.03
Sn3 0.2021 0.2021 0.0000  2 Ag 2.82, 2 Sn 3.03
Sn4 0.3075 0.0000 0.5000  3 Ag 2.82-2.95
Sn5 0.6925 0.6925 0.5000  3 Ag 2.82-2.95
Sn6 0.7979 0.0000 0.0000  2 Ag 2.82, 2 Sn 3.03

Results
The energy relative to the elements is -0.08 eV per atom. For the raw total energy, the calculation gives -35.6 eV/cell.